Cd3SBr, optimized geometry, DFT PBE-GGA; energy above the most stable polymorph in this dataset = 598 meV per atom; energy relative to the elements, uncorrected = 0.568 eV/atom
1.0
5.528 0.000 0.000
0.000 5.528 0.000
0.000 0.000 5.528
Cd S Br
3 1 1
Direct
0.000 0.000 0.500
0.000 0.500 0.000
0.500 0.000 0.000
0.500 0.500 0.500
0.000 0.000 0.000

=====

CdSBr3, optimized geometry, DFT PBE-GGA; energy above the most stable polymorph in this dataset = 87 meV per atom; energy relative to the elements, uncorrected = 0.204 eV/atom
1.0
5.496 0.000 0.000
0.000 5.496 0.000
0.000 0.000 5.496
Cd S Br
1 1 3
Direct
0.000 0.000 0.000
0.500 0.500 0.500
0.000 0.000 0.500
0.000 0.500 0.000
0.500 0.000 0.000

=====

CdS2Br, optimized geometry, DFT PBE-GGA; energy above the most stable polymorph in this dataset = 247 meV per atom; energy relative to the elements, uncorrected = -0.030 eV/atom
1.0
1.994 1.151 7.575
-1.994 1.151 7.575
0.000 -2.303 7.575
Cd S Br
1 2 1
Direct
0.000 0.000 0.000
0.393 0.393 0.393
0.607 0.607 0.607
0.500 0.500 0.500

=====

CdS2Br, optimized geometry, DFT PBE-GGA; energy above the most stable polymorph in this dataset = 602 meV per atom; energy relative to the elements, uncorrected = 0.325 eV/atom
1.0
-2.731 2.731 7.358
2.731 -2.731 7.358
2.731 2.731 -7.358
Cd S Br
2 4 2
Direct
0.000 0.000 0.000
0.750 0.250 0.500
0.117 0.625 0.992
0.375 0.367 0.492
0.633 0.125 0.008
0.875 0.883 0.508
0.250 0.750 0.500
0.500 0.500 0.000

=====

CdS8Br2, optimized geometry, DFT PBE-GGA; energy relative to the elements, uncorrected = -0.108 eV/atom
1.0
7.342 0.000 0.000
-3.399 6.667 0.000
-1.907 -2.394 7.560
Cd S Br
1 8 2
Direct
0.000 0.000 0.000
0.075 0.586 0.643
0.103 0.861 0.660
0.427 0.113 0.353
0.478 0.082 0.693
0.522 0.918 0.307
0.573 0.887 0.647
0.897 0.139 0.340
0.925 0.414 0.357
0.219 0.365 0.001
0.781 0.635 0.999

=====

CdS2Br, optimized geometry, DFT PBE-GGA; energy above the most stable polymorph in this dataset = 886 meV per atom; energy relative to the elements, uncorrected = 0.609 eV/atom
1.0
0.000 3.442 3.442
3.442 0.000 3.442
3.442 3.442 0.000
Cd S Br
1 2 1
Direct
0.000 0.000 0.000
0.250 0.250 0.250
0.750 0.750 0.750
0.500 0.500 0.500

=====

CdS2Br, optimized geometry, DFT PBE-GGA; energy above the most stable polymorph in this dataset = 873 meV per atom; energy relative to the elements, uncorrected = 0.597 eV/atom
1.0
1.561 0.901 11.418
-1.561 0.901 11.418
0.000 -1.802 11.418
Cd S Br
1 2 1
Direct
0.000 0.000 0.000
0.069 0.069 0.069
0.931 0.931 0.931
0.500 0.500 0.500

=====

Cd3S2Br2, optimized geometry, DFT PBE-GGA; energy above the most stable polymorph in this dataset = 0 meV per atom; energy relative to the elements, uncorrected = -0.686 eV/atom
1.0
7.674 0.000 0.000
0.000 7.531 0.000
-3.467 0.000 6.550
Cd S Br
6 4 4
Direct
0.000 0.000 0.000
0.000 0.500 0.500
0.370 0.083 0.733
0.370 0.417 0.233
0.630 0.583 0.767
0.630 0.917 0.267
0.329 0.119 0.063
0.329 0.381 0.563
0.671 0.619 0.437
0.671 0.881 0.937
0.161 0.647 0.921
0.161 0.853 0.421
0.839 0.147 0.579
0.839 0.353 0.079

=====

Cd3S2Br2, optimized geometry, DFT PBE-GGA; energy above the most stable polymorph in this dataset = 67 meV per atom; energy relative to the elements, uncorrected = -0.620 eV/atom
1.0
7.185 -2.034 0.000
7.185 2.034 0.000
-2.815 0.000 6.543
Cd S Br
3 2 2
Direct
0.000 0.000 0.000
0.245 0.245 0.728
0.755 0.755 0.272
0.153 0.153 0.312
0.847 0.847 0.688
0.380 0.380 0.178
0.620 0.620 0.822

=====

CdS4Br, optimized geometry, DFT PBE-GGA; energy relative to the elements, uncorrected = -0.161 eV/atom
1.0
4.248 0.000 0.000
0.957 7.645 0.000
0.980 3.295 12.289
Cd S Br
2 8 2
Direct
0.248 0.315 0.335
0.752 0.685 0.665
0.100 0.008 0.191
0.140 0.899 0.067
0.291 0.068 0.516
0.375 0.217 0.160
0.625 0.783 0.840
0.709 0.932 0.484
0.860 0.101 0.933
0.900 0.992 0.809
0.296 0.470 0.666
0.704 0.530 0.334

=====

Cd2SBr2, optimized geometry, DFT PBE-GGA; energy relative to the elements, uncorrected = -0.599 eV/atom
1.0
7.239 -3.161 0.000
7.239 3.161 0.000
-4.426 0.000 6.741
Cd S Br
4 2 4
Direct
0.000 0.000 0.233
0.000 0.000 0.767
0.339 0.339 0.339
0.661 0.661 0.661
0.141 0.141 0.139
0.859 0.859 0.861
0.152 0.152 0.650
0.498 0.498 0.735
0.502 0.502 0.265
0.848 0.848 0.350

=====

Cd3S3Br, optimized geometry, DFT PBE-GGA; energy relative to the elements, uncorrected = -0.337 eV/atom
1.0
3.777 2.181 7.855
-3.777 2.181 7.855
0.000 -4.361 7.855
Cd S Br
6 6 2
Direct
0.103 0.746 0.452
0.254 0.548 0.897
0.452 0.103 0.746
0.548 0.897 0.254
0.746 0.452 0.103
0.897 0.254 0.548
0.105 0.426 0.796
0.204 0.895 0.574
0.426 0.796 0.105
0.574 0.204 0.895
0.796 0.105 0.426
0.895 0.574 0.204
0.340 0.340 0.340
0.660 0.660 0.660

=====

CdS2Br, optimized geometry, DFT PBE-GGA; energy above the most stable polymorph in this dataset = 0 meV per atom; energy relative to the elements, uncorrected = -0.277 eV/atom
1.0
4.114 0.000 0.000
0.160 4.374 0.000
1.600 -0.041 5.731
Cd S Br
1 2 1
Direct
0.000 0.000 0.000
0.175 0.886 0.559
0.831 0.121 0.440
0.503 0.503 0.000

=====

CdS5Br, optimized geometry, DFT PBE-GGA; energy relative to the elements, uncorrected = -0.119 eV/atom
1.0
4.308 0.000 0.000
1.982 4.611 0.000
0.945 2.277 11.824
Cd S Br
1 5 1
Direct
0.000 0.000 0.000
0.249 0.697 0.839
0.258 0.395 0.527
0.739 0.076 0.527
0.749 0.462 0.839
0.997 0.289 0.418
0.501 0.935 0.133

=====

CdS3Br, optimized geometry, DFT PBE-GGA; energy relative to the elements, uncorrected = 0.873 eV/atom
1.0
5.180 0.000 0.000
0.000 5.180 0.000
0.000 0.000 5.180
Cd S Br
1 3 1
Direct
0.000 0.000 0.000
0.000 0.000 0.500
0.000 0.500 0.000
0.500 0.000 0.000
0.500 0.500 0.500

=====

Cd3SBr, optimized geometry, DFT PBE-GGA; energy above the most stable polymorph in this dataset = 0 meV per atom; energy relative to the elements, uncorrected = -0.030 eV/atom
1.0
5.373 0.000 0.000
0.000 5.373 0.000
0.000 0.000 5.373
Cd S Br
3 1 1
Direct
0.000 0.000 0.500
0.000 0.500 0.000
0.500 0.000 0.000
0.000 0.000 0.000
0.500 0.500 0.500

=====

CdS2Br2, optimized geometry, DFT PBE-GGA; energy relative to the elements, uncorrected = -0.166 eV/atom
1.0
3.784 -5.903 0.000
3.784 5.903 0.000
-1.296 0.000 3.882
Cd S Br
1 2 2
Direct
0.000 0.000 0.000
0.478 0.478 0.236
0.522 0.522 0.764
0.154 0.846 0.500
0.846 0.154 0.500

=====

CdSBr3, optimized geometry, DFT PBE-GGA; energy above the most stable polymorph in this dataset = 0 meV per atom; energy relative to the elements, uncorrected = 0.117 eV/atom
1.0
5.203 0.000 0.000
0.000 5.203 0.000
0.000 0.000 5.203
Cd S Br
1 1 3
Direct
0.000 0.000 0.000
0.500 0.500 0.500
0.000 0.500 0.500
0.500 0.000 0.500
0.500 0.500 0.000

=====

ScCdS2Br, optimized geometry, DFT PBE-GGA; energy relative to the elements, uncorrected = -0.076 eV/atom
1.0
4.981 0.000 0.000
0.000 4.981 0.000
0.000 0.000 5.252
Sc Cd S Br
1 1 2 1
Direct
0.000 0.000 0.000
0.500 0.500 0.500
0.000 0.500 0.500
0.500 0.000 0.500
0.500 0.500 0.000

=====

CdSe2SBr, optimized geometry, DFT PBE-GGA; energy above the most stable polymorph in this dataset = 445 meV per atom; energy relative to the elements, uncorrected = 0.764 eV/atom
1.0
5.344 0.000 0.000
0.000 5.344 0.000
0.000 0.000 5.606
Cd Se S Br
1 2 1 1
Direct
0.000 0.000 0.000
0.000 0.500 0.000
0.500 0.000 0.000
0.500 0.500 0.500
0.000 0.000 0.500

=====

| no. | E (eV/atom) |
| --- | --- |
| 1 | -1.14 |
| 2 | -1.81 |
| 3 | -2.74 |
| 4 | -2.39 |
| 5 | -3.50 |
| 6 | -2.10 |
| 7 | -2.11 |
| 8 | -2.74 |
| 9 | -2.67 |
| 10 | -3.34 |
| 11 | -2.46 |
| 12 | -2.74 |
| 13 | -2.99 |
| 14 | -3.44 |
| 15 | -2.12 |
| 16 | -1.74 |
| 17 | -2.67 |
| 18 | -1.90 |
| 19 | -3.51 |
| 20 | -1.97 |